(1)
NaMnIn2Pb | PBE-GGA | relaxed

Cell lengths 5.3927, 5.3927, 5.1608 Å; angles 90.00, 90.00, 90.00 degrees
Closest atoms and distances in Å follow each position.
Space group P4/mmm (No. 123)
Asymmetric unit:
Na: 0.0000 0.0000 0.0000 (multiplicity 1)  2 Mn 2.58, 4 In 2.70
Mn: 0.0000 0.0000 0.5000 (multiplicity 1)  2 Na 2.58
In: 0.0000 0.5000 0.0000 (multiplicity 2)  2 Na 2.70
Pb: 0.5000 0.5000 0.5000 (multiplicity 1)  8 In 3.73, 4 Mn 3.81

Total energy (eV per atom): -3.110
Energy of formation from the pure elements (eV per atom): 0.83

(2)
BeCd2Fe | PBE-GGA | relaxed

Cell lengths 3.9052, 3.9052, 8.2113 Å; angles 90.00, 90.00, 90.00 degrees
Closest atoms and distances in Å follow each position.
Space group I-4m2 (No. 119)
Asymmetric unit:
Be: 0.0000 0.0000 0.0000 (multiplicity 2)  8 Cd 2.76-2.83, 4 Fe 2.83
Cd: 0.0000 0.0000 0.5000 (multiplicity 2)  4 Be 2.76, 4 Cd 2.83, 4 Fe 2.83
Cd: 0.0000 0.5000 0.7500 (multiplicity 2)  4 Fe 2.76, 4 Cd 2.83, 4 Be 2.83
Fe: 0.0000 0.5000 0.2500 (multiplicity 2)  8 Cd 2.76-2.83, 4 Be 2.83

Total energy (eV per atom): -3.027
Energy of formation from the pure elements (eV per atom): 0.48

(3)
NdYCoPd | PBE-GGA | relaxed

Cell lengths 6.9954, 6.9954, 6.9954 Å; angles 90.00, 90.00, 90.00 degrees
Closest atoms and distances in Å follow each position.
Space group F-43m (No. 216)
Asymmetric unit:
Nd: 0.0000 0.0000 0.0000 (multiplicity 4)  4 Pd 3.03, 4 Co 3.03
Y: 0.0000 0.0000 0.5000 (multiplicity 4)  4 Co 3.03, 4 Pd 3.03
Co: 0.2500 0.2500 0.7500 (multiplicity 4)  4 Nd 3.03, 4 Y 3.03
Pd: 0.2500 0.2500 0.2500 (multiplicity 4)  4 Nd 3.03, 4 Y 3.03

Total energy (eV per atom): -6.266
Energy of formation from the pure elements (eV per atom): -0.38

(4)
ScGaI3 | PBE-GGA | relaxed

Cell lengths 5.7920, 5.7920, 5.7920 Å; angles 90.00, 90.00, 90.00 degrees
Closest atoms and distances in Å follow each position.
Space group Pm-3m (No. 221)
Asymmetric unit:
Sc: 0.0000 0.0000 0.0000 (multiplicity 1)  6 I 2.90
Ga: 0.5000 0.5000 0.5000 (multiplicity 1)  12 I 4.10
I: 0.0000 0.0000 0.5000 (multiplicity 3)  2 Sc 2.90

ΔE to the lowest computed polymorph (eV per atom): 0.000
Total energy (eV per atom): -3.386
Formation energy without anion corrections (eV per formula unit): -2.92

(5)
CrCdP4 | PBE-GGA | relaxed

Cell lengths 7.3540, 7.3540, 7.3540 Å; angles 90.00, 90.00, 90.00 degrees
Closest atoms and distances in Å follow each position.
Space group F-43m (No. 216)
Asymmetric unit:
Cr: 0.0000 0.0000 0.0000 (multiplicity 4)  12 P 3.05, 4 Cd 3.18
Cd: 0.2500 0.2500 0.2500 (multiplicity 4)  12 P 3.05, 4 Cr 3.18
P: 0.1263 0.1263 0.6263 (multiplicity 16)  6 P 2.57-2.63

Total energy (eV per atom): -4.738
Energy of formation from the pure elements (eV per atom): 0.62

(6)
Sr2YCo | PBE-GGA | relaxed

Cell lengths 9.0463, 3.8430, 8.8304 Å; angles 90.00, 106.27, 90.00 degrees
Closest atoms and distances in Å follow each position.
Space group Cm (No. 8)
Asymmetric unit:
Sr: 0.0000 0.0000 0.0000 (multiplicity 2)  2 Co 3.18, 1 Y 3.49
Sr: 0.1589 0.0000 0.5824 (multiplicity 2)  2 Co 3.17, 1 Y 3.49
Y: 0.3517 0.0000 0.2913 (multiplicity 2)  3 Co 2.62-2.70
Co: 0.1418 0.5000 0.2918 (multiplicity 2)  3 Y 2.62-2.70

ΔE to the lowest computed polymorph (eV per atom): 0.081
Total energy (eV per atom): -4.027
Energy of formation from the pure elements (eV per atom): 0.21